Entry 1:
VASP calculation (GGA-PBE) on an optimized crystal structure of Si23Tc.

abc: 10.189 10.189 10.189
angles: 90.00 90.00 90.00
Each line ends with the local moment (μB).
Positions (direct):
Si 0.818 0.182 0.818  0.01
Si 0.818 0.818 0.182  0.01
Si 0.000 0.692 0.884  0.01
Si 0.818 0.182 0.182  0.01
Si 0.500 0.750 0.000  0.03
Si 0.500 0.250 0.000  0.03
Si 0.000 0.308 0.116  0.01
Si 0.616 0.192 0.500  0.01
Si 0.616 0.808 0.500  0.01
Si 0.318 0.682 0.682  0.01
Si 0.182 0.182 0.182  0.01
Si 0.500 0.616 0.192  0.01
Si 0.692 0.116 0.000  0.01
Si 0.182 0.818 0.818  0.01
Si 0.182 0.818 0.182  0.01
Si 0.318 0.682 0.318  0.01
Si 0.000 0.500 0.750  0.03
Si 0.000 0.308 0.884  0.01
Si 0.808 0.500 0.384  0.01
Si 0.692 0.884 0.000  0.01
Si 0.308 0.116 0.000  0.01
Si 0.682 0.682 0.682  0.01
Si 0.192 0.500 0.384  0.01
Si 0.318 0.318 0.682  0.01
Si 0.250 0.000 0.500  0.03
Si 0.000 0.500 0.250  0.03
Si 0.884 0.000 0.308  0.01
Si 0.500 0.616 0.808  0.01
Si 0.192 0.500 0.616  0.01
Si 0.384 0.808 0.500  0.01
Si 0.116 0.000 0.308  0.01
Si 0.318 0.318 0.318  0.01
Si 0.682 0.318 0.682  0.01
Si 0.000 0.692 0.116  0.01
Si 0.500 0.384 0.808  0.01
Si 0.682 0.682 0.318  0.01
Si 0.500 0.384 0.192  0.01
Si 0.884 0.000 0.692  0.01
Si 0.808 0.500 0.616  0.01
Si 0.750 0.000 0.500  0.03
Si 0.682 0.318 0.318  0.01
Si 0.818 0.818 0.818  0.01
Si 0.116 0.000 0.692  0.01
Si 0.182 0.182 0.818  0.01
Si 0.308 0.884 0.000  0.01
Si 0.384 0.192 0.500  0.01
Tc 0.000 0.000 0.000  2.90
Tc 0.500 0.500 0.500  2.90

space-group type = Pm-3n (223)
total moment = 7.6 μB per cell
calculated total energy = -259.359 eV/cell

***

Entry 2:
VASP calculation (GGA-PBE) on an optimized crystal structure of NaSnTeBr.

abc: 4.371 4.372 8.485
angles: 89.94 104.97 119.98
Positions (direct):
Br 0.990 0.393 0.398
Sn 0.124 0.959 0.099
Na 0.446 0.121 0.582
Te 0.319 0.557 0.891

space-group type = Cm (8)
total moment = 0.0 μB per cell
calculated total energy = -13.333 eV/cell

***

Entry 3:
VASP calculation (GGA-PBE) on an optimized crystal structure of KTl2In.

abc: 5.077 5.077 7.237
angles: 69.47 69.47 60.00
Positions (direct):
K 0.493 0.493 0.522
Tl 0.054 0.054 0.839
Tl 0.276 0.276 0.172
In 0.678 0.678 0.967

space-group type = R3m (160)
total moment = 0.0 μB per cell
ΔE_f = -72.8 meV per atom

***

Entry 4:
VASP calculation (GGA-PBE) on an optimized crystal structure of Zr3Zn3C.

abc: 8.679 8.679 8.679
angles: 60.00 60.00 60.00
Positions (direct):
Zr 0.810 0.190 0.810
Zr 0.440 0.060 0.440
Zr 0.810 0.810 0.190
Zr 0.060 0.060 0.440
Zr 0.060 0.440 0.440
Zr 0.060 0.440 0.060
Zr 0.440 0.440 0.060
Zr 0.190 0.810 0.810
Zr 0.190 0.190 0.810
Zr 0.810 0.190 0.190
Zr 0.440 0.060 0.060
Zr 0.190 0.810 0.190
Zn 0.419 0.742 0.419
Zn 0.742 0.419 0.419
Zn 0.125 0.625 0.625
Zn 0.625 0.625 0.625
Zn 0.625 0.125 0.625
Zn 0.419 0.419 0.419
Zn 0.831 0.831 0.508
Zn 0.508 0.831 0.831
Zn 0.831 0.831 0.831
Zn 0.625 0.625 0.125
Zn 0.419 0.419 0.742
Zn 0.831 0.508 0.831
C 0.125 0.125 0.125
C 0.125 0.625 0.125
C 0.625 0.125 0.125
C 0.125 0.125 0.625

space-group type = Fd-3m (227)
total moment = 0.0 μB per cell
ΔE_f = -480.0 meV per atom

***

Entry 5:
VASP calculation (GGA-PBE) on an optimized crystal structure of Mg3TiCd6.

abc: 4.434 9.579 9.907
angles: 93.06 90.00 90.00
Positions (direct):
Cd 0.750 0.758 0.500
Cd 0.250 0.052 0.895
Cd 0.250 0.242 0.500
Cd 0.250 0.649 0.694
Cd 0.750 0.351 0.306
Cd 0.750 0.144 0.697
Cd 0.750 0.545 0.899
Cd 0.750 0.948 0.105
Cd 0.250 0.856 0.303
Cd 0.250 0.455 0.101
Cd 0.750 0.853 0.799
Cd 0.250 0.147 0.201
Mg 0.250 0.347 0.802
Mg 0.250 0.554 0.402
Mg 0.250 0.753 0.992
Mg 0.750 0.653 0.198
Mg 0.750 0.446 0.598
Mg 0.750 0.247 0.008
Ti 0.250 0.951 0.592
Ti 0.750 0.049 0.408

space-group type = P2_1/m (11)
total moment = 0.0 μB per cell
ΔE_f = -36.0 meV per atom

***

Entry 6:
VASP calculation (GGA-PBE) on an optimized crystal structure of SrGa4Ir2Pd.

abc: 4.303 4.303 9.549
angles: 76.98 76.98 60.00
Positions (direct):
Ga 0.131 0.131 0.606
Ga 0.869 0.869 0.394
Ga 0.595 0.595 0.216
Ga 0.405 0.405 0.784
Ir 0.771 0.771 0.688
Ir 0.229 0.229 0.312
Pd 0.500 0.500 0.500
Sr 0.000 0.000 0.000

space-group type = R-3m (166)
total moment = 0.0 μB per cell
ΔE_f = -503.2 meV per atom

***

Entry 7:
VASP calculation (GGA-PBE) on an optimized crystal structure of As2PtWBr.

abc: 4.922 4.922 4.838
angles: 90.00 90.00 90.00
Positions (direct):
Pt 0.500 0.500 0.500
As 0.500 0.000 0.000
As 0.000 0.500 0.000
Br 0.000 0.000 0.500
W 0.000 0.000 0.000

space-group type = P4/mmm (123)
total moment = 0.0 μB per cell
ΔE to the lowest computed polymorph = 0.0000 eV/atom

***

Entry 8:
VASP calculation (GGA-PBE) on an optimized crystal structure of Tl2InOsO8.

abc: 5.004 4.988 6.746
angles: 90.00 90.00 92.45
Each line ends with the local moment (μB).
Positions (direct):
O 0.723 0.726 0.000  0.00
O 0.277 0.274 0.000  0.00
O 0.701 0.705 0.500  0.02
O 0.174 0.823 0.789  0.04
O 0.826 0.178 0.789  0.04
O 0.826 0.177 0.211  0.04
O 0.299 0.295 0.500  0.02
O 0.174 0.822 0.211  0.04
Tl 0.500 0.500 0.750  0.01
Tl 0.500 0.500 0.250  0.01
In 0.000 0.000 0.500  0.03
Os 0.000 0.000 0.000  0.44

space-group type = P2/m (10)
total moment = 0.7 μB per cell
calculated total energy = -68.675 eV/cell

***

Entry 9:
VASP calculation (GGA-PBE) on an optimized crystal structure of LiMg2PaO6.

abc: 5.394 5.395 5.749
angles: 90.00 117.97 120.00
Each line ends with the local moment (μB).
Positions (direct):
O 0.513 0.095 0.185  0.22
O 0.100 0.194 0.670  0.29
O 0.104 0.417 0.185  0.22
O 0.490 0.904 0.670  0.29
O 0.782 0.686 0.185  0.22
O 0.780 0.585 0.670  0.29
Mg 0.586 0.292 0.864  0.00
Mg 0.593 0.796 0.375  0.00
Pa 0.995 0.497 0.478  0.21
Li 0.023 0.011 0.021  0.00

space-group type = R3 (146)
total moment = 2.0 μB per cell
calculated total energy = -68.218 eV/cell

***

Entry 10:
VASP calculation (GGA-PBE) on an optimized crystal structure of Cd2Rh3.

abc: 8.394 7.338 5.398
angles: 80.91 59.67 39.42
Positions (direct):
Rh 0.933 0.067 0.067
Rh 0.525 0.783 0.912
Rh 0.467 0.725 0.469
Rh 0.338 0.469 0.725
Rh 0.781 0.912 0.783
Rh 0.183 0.317 0.317
Cd 0.704 0.897 0.341
Cd 0.909 0.193 0.546
Cd 0.057 0.341 0.897
Cd 0.353 0.546 0.193

space-group type = Fdd2 (43)
total moment = 0.0 μB per cell
ΔE to the lowest computed polymorph = 0.0000 eV/atom
ΔE_f = 80.2 meV per atom

***

Entry 11:
VASP calculation (GGA-PBE) on an optimized crystal structure of Y2TcPt.

abc: 5.853 5.853 5.853
angles: 144.25 133.52 59.99
Positions (direct):
Y 0.739 0.239 0.500
Y 0.011 0.011 0.000
Tc 0.265 0.765 0.500
Pt 0.485 0.485 0.000

space-group type = Imm2 (44)
total moment = 0.0 μB per cell
ΔE_f = -345.1 meV per atom